A plane-wave DFT calculation with PBE with a Hubbard U was carried out for an optimized crystal structure of Li2VSi4O11.

```
data_Li2VSi4O11
_chemical_formula_sum 'Li4 V2 Si8 O22'
_space_group_name_H-M_alt 'P 1'
_space_group_IT_number 1
_cell_length_a 8.4897
_cell_length_b 8.4897
_cell_length_c 8.4897
_cell_angle_alpha 102.22
_cell_angle_beta 102.22
_cell_angle_gamma 125.23
loop_
_space_group_symop_operation_xyz
'x,y,z'
loop_
_atom_site_label
_atom_site_fract_x
_atom_site_fract_y
_atom_site_fract_z
Li1 0.6484 0.6200 0.2684
Li2 0.3800 0.6484 0.0284
Li3 0.6200 0.3516 0.9716
Li4 0.3516 0.3800 0.7316
V1 0.2399 0.2399 0.0000
V2 0.7601 0.7601 0.0000
Si1 0.4999 0.1732 0.2836
Si2 0.1104 0.7837 0.2836
Si3 0.1732 0.8896 0.6733
Si4 0.7837 0.5001 0.6733
Si5 0.8268 0.1104 0.3267
Si6 0.2163 0.4999 0.3267
Si7 0.5001 0.8268 0.7164
Si8 0.8896 0.2163 0.7164
O1 0.0000 0.0000 0.0000
O2 0.5000 0.5000 0.0000
O3 0.4498 0.2112 0.1078
O4 0.8966 0.6579 0.1078
O5 0.2908 0.0310 0.3218
O6 0.6709 0.4045 0.4558
O7 0.0513 0.7849 0.4558
O8 0.5955 0.0513 0.2664
O9 0.2151 0.6709 0.2664
O10 0.2112 0.1034 0.7614
O11 0.6579 0.5502 0.7614
O12 0.9690 0.2908 0.2598
O13 0.0310 0.7092 0.7402
O14 0.3421 0.4498 0.2386
O15 0.7888 0.8966 0.2386
O16 0.7849 0.3291 0.7336
O17 0.4045 0.9487 0.7336
O18 0.3291 0.5955 0.5442
O19 0.9487 0.2151 0.5442
O20 0.7092 0.9690 0.6782
O21 0.1034 0.3421 0.8922
O22 0.5502 0.7888 0.8922
```

Properties
Symmetry: I4/m, No. 87
Total energy, eV per formula unit: -132.9

A plane-wave DFT calculation with PBE with a Hubbard U was carried out for an optimized crystal structure of LiVSiO4.

```
data_LiVSiO4
_chemical_formula_sum 'Li2 V2 Si2 O8'
_space_group_name_H-M_alt 'P 1'
_space_group_IT_number 1
_cell_length_a 5.2066
_cell_length_b 5.2066
_cell_length_c 9.6246
_cell_angle_alpha 90.00
_cell_angle_beta 90.00
_cell_angle_gamma 120.00
loop_
_space_group_symop_operation_xyz
'x,y,z'
loop_
_atom_site_label
_atom_site_fract_x
_atom_site_fract_y
_atom_site_fract_z
Li1 0.0000 0.0000 0.2327
Li2 0.0000 0.0000 0.7327
V1 0.6667 0.3333 0.1217
V2 0.3333 0.6667 0.6217
Si1 0.6667 0.3333 0.7597
Si2 0.3333 0.6667 0.2597
O1 0.6667 0.3333 0.9286
O2 0.3333 0.6667 0.4286
O3 0.9709 0.6266 0.7027
O4 0.6557 0.0291 0.7027
O5 0.6266 0.6557 0.2027
O6 0.3734 0.3443 0.7027
O7 0.3443 0.9709 0.2027
O8 0.0291 0.3734 0.2027
```

Properties
Symmetry: P6_3, No. 173
Total energy, eV per formula unit: -51.0

A plane-wave DFT calculation with PBE with a Hubbard U was carried out for an optimized crystal structure of LiVSiO4.

```
data_LiVSiO4
_chemical_formula_sum 'Li4 V4 Si4 O16'
_space_group_name_H-M_alt 'P 1'
_space_group_IT_number 1
_cell_length_a 9.3294
_cell_length_b 5.6463
_cell_length_c 6.3822
_cell_angle_alpha 105.87
_cell_angle_beta 104.31
_cell_angle_gamma 80.31
loop_
_space_group_symop_operation_xyz
'x,y,z'
loop_
_atom_site_label
_atom_site_fract_x
_atom_site_fract_y
_atom_site_fract_z
Li1 0.1463 0.1718 0.3763
Li2 0.2195 0.6816 0.4344
Li3 0.7805 0.3184 0.5657
Li4 0.8537 0.8282 0.6237
V1 0.2054 0.7027 0.9261
V2 0.4252 0.2111 0.1625
V3 0.5748 0.7890 0.8375
V4 0.7946 0.2973 0.0739
Si1 0.0953 0.1604 0.8259
Si2 0.4631 0.3285 0.7095
Si3 0.5369 0.6715 0.2905
Si4 0.9047 0.8396 0.1741
O1 0.1497 0.3585 0.7263
O2 0.0977 0.8661 0.6744
O3 0.0758 0.7534 0.1435
O4 0.2135 0.1076 0.0577
O5 0.4488 0.1332 0.8489
O6 0.3827 0.6208 0.7697
O7 0.3908 0.2190 0.4515
O8 0.3605 0.6054 0.2143
O9 0.6395 0.3946 0.7857
O10 0.6092 0.7810 0.5485
O11 0.6173 0.3792 0.2303
O12 0.5512 0.8668 0.1511
O13 0.7865 0.8924 0.9423
O14 0.9242 0.2466 0.8565
O15 0.9023 0.1339 0.3256
O16 0.8503 0.6415 0.2737
```

Properties
Symmetry: P-1, No. 2
Total energy, eV per formula unit: -51.1

A plane-wave DFT calculation with PBE with a Hubbard U was carried out for an optimized crystal structure of LiVSiO4.

```
data_LiVSiO4
_chemical_formula_sum 'Li4 V4 Si4 O16'
_space_group_name_H-M_alt 'P 1'
_space_group_IT_number 1
_cell_length_a 4.9035
_cell_length_b 9.1435
_cell_length_c 6.3460
_cell_angle_alpha 90.00
_cell_angle_beta 90.00
_cell_angle_gamma 90.00
loop_
_space_group_symop_operation_xyz
'x,y,z'
loop_
_atom_site_label
_atom_site_fract_x
_atom_site_fract_y
_atom_site_fract_z
Li1 0.4798 0.1671 0.7500
Li2 0.9798 0.3329 0.2500
Li3 0.0202 0.6671 0.7500
Li4 0.5202 0.8329 0.2500
V1 0.0000 0.0000 0.5000
V2 0.5000 0.5000 0.5000
V3 0.0000 0.0000 0.0000
V4 0.5000 0.5000 0.0000
Si1 0.4774 0.1781 0.2500
Si2 0.9774 0.3219 0.7500
Si3 0.0226 0.6781 0.2500
Si4 0.5226 0.8219 0.7500
O1 0.8029 0.1244 0.2500
O2 0.3029 0.3756 0.7500
O3 0.6971 0.6244 0.2500
O4 0.1971 0.8756 0.7500
O5 0.9104 0.1412 0.7500
O6 0.4104 0.3588 0.2500
O7 0.5896 0.6412 0.7500
O8 0.0896 0.8588 0.2500
O9 0.3299 0.1190 0.0358
O10 0.3299 0.1190 0.4642
O11 0.8299 0.3810 0.9642
O12 0.8299 0.3810 0.5358
O13 0.1701 0.6190 0.0358
O14 0.1701 0.6190 0.4642
O15 0.6701 0.8810 0.5358
O16 0.6701 0.8810 0.9642
```

Properties
Symmetry: Pnma, No. 62
Total energy, eV per formula unit: -51.5

A plane-wave DFT calculation with PBE with a Hubbard U was carried out for an optimized crystal structure of LiVSiO4.

```
data_LiVSiO4
_chemical_formula_sum 'Li2 V2 Si2 O8'
_space_group_name_H-M_alt 'P 1'
_space_group_IT_number 1
_cell_length_a 4.9686
_cell_length_b 4.9686
_cell_length_c 6.2654
_cell_angle_alpha 90.00
_cell_angle_beta 90.00
_cell_angle_gamma 112.82
loop_
_space_group_symop_operation_xyz
'x,y,z'
loop_
_atom_site_label
_atom_site_fract_x
_atom_site_fract_y
_atom_site_fract_z
Li1 0.6703 0.3297 0.2500
Li2 0.3297 0.6703 0.7500
V1 0.0000 0.0000 0.0000
V2 0.0000 0.0000 0.5000
Si1 0.6519 0.3481 0.7500
Si2 0.3481 0.6519 0.2500
O1 0.2317 0.2863 0.2500
O2 0.2863 0.2317 0.7500
O3 0.7683 0.7137 0.7500
O4 0.7137 0.7683 0.2500
O5 0.2372 0.7628 0.0358
O6 0.7628 0.2372 0.5358
O7 0.2372 0.7628 0.4642
O8 0.7628 0.2372 0.9642
```

Properties
Symmetry: Cmcm, No. 63
Total energy, eV per formula unit: -51.6

A plane-wave DFT calculation with PBE with a Hubbard U was carried out for an optimized crystal structure of Li2VSi7O16.

```
data_Li2VSi7O16
_chemical_formula_sum 'Li2 V1 Si7 O16'
_space_group_name_H-M_alt 'P 1'
_space_group_IT_number 1
_cell_length_a 7.2645
_cell_length_b 7.6461
_cell_length_c 7.8416
_cell_angle_alpha 115.57
_cell_angle_beta 105.50
_cell_angle_gamma 101.58
loop_
_space_group_symop_operation_xyz
'x,y,z'
loop_
_atom_site_label
_atom_site_fract_x
_atom_site_fract_y
_atom_site_fract_z
Li1 0.3511 0.6049 0.7845
Li2 0.7179 0.2965 0.4485
V1 0.8494 0.6335 0.8486
Si1 0.8518 0.8026 0.5567
Si2 0.2851 0.1583 0.7901
Si3 0.2736 0.8059 0.1653
Si4 0.7008 0.8829 0.2065
Si5 0.7264 0.1797 0.8122
Si6 0.1621 0.4070 0.1638
Si7 0.1323 0.1793 0.3984
O1 0.1695 0.6729 0.9190
O2 0.1026 0.9326 0.6595
O3 0.6415 0.7441 0.9642
O4 0.7497 0.9549 0.6901
O5 0.2571 0.6588 0.2687
O6 0.2558 0.2723 0.6473
O7 0.8028 0.5903 0.5576
O8 0.5139 0.9580 0.2567
O9 0.5068 0.1343 0.8401
O10 0.2235 0.3654 0.3591
O11 0.7371 0.3127 0.7022
O12 0.7666 0.7569 0.3198
O13 0.1544 0.9646 0.2520
O14 0.2706 0.3018 0.0082
O15 0.9133 0.3096 0.0471
O16 0.8843 0.1201 0.3334
```

Properties
Symmetry: P1, No. 1
Total energy, eV per formula unit: -195.7

A plane-wave DFT calculation with PBE with a Hubbard U was carried out for an optimized crystal structure of LiVSiO5.

```
data_LiVSiO5
_chemical_formula_sum 'Li4 V4 Si4 O20'
_space_group_name_H-M_alt 'P 1'
_space_group_IT_number 1
_cell_length_a 4.5293
_cell_length_b 8.9764
_cell_length_c 9.3763
_cell_angle_alpha 90.00
_cell_angle_beta 90.00
_cell_angle_gamma 90.00
loop_
_space_group_symop_operation_xyz
'x,y,z'
loop_
_atom_site_label
_atom_site_fract_x
_atom_site_fract_y
_atom_site_fract_z
Li1 0.6474 0.0000 0.0091
Li2 0.3526 0.0000 0.5091
Li3 0.0309 0.5000 0.7290
Li4 0.9691 0.5000 0.2290
V1 0.9419 0.0000 0.2916
V2 0.0581 0.0000 0.7916
V3 0.5773 0.5000 0.4996
V4 0.4227 0.5000 0.9996
Si1 0.4794 0.2492 0.2488
Si2 0.5206 0.2492 0.7488
Si3 0.5206 0.7508 0.7488
Si4 0.4794 0.7508 0.2488
O1 0.7718 0.0000 0.4458
O2 0.2282 0.0000 0.9458
O3 0.7286 0.1397 0.1753
O4 0.2714 0.1397 0.6753
O5 0.2319 0.1445 0.3287
O6 0.7681 0.1445 0.8287
O7 0.3003 0.3568 0.1371
O8 0.6997 0.3568 0.6371
O9 0.6646 0.3586 0.3572
O10 0.3354 0.3586 0.8572
O11 0.2175 0.5000 0.5135
O12 0.7825 0.5000 0.0135
O13 0.6646 0.6414 0.3572
O14 0.3354 0.6414 0.8572
O15 0.3003 0.6432 0.1371
O16 0.6997 0.6432 0.6371
O17 0.2319 0.8555 0.3287
O18 0.7681 0.8555 0.8287
O19 0.2714 0.8603 0.6753
O20 0.7286 0.8603 0.1753
```

Properties
Symmetry: Pmc2_1, No. 26
Total energy, eV per formula unit: -57.3

A plane-wave DFT calculation with PBE with a Hubbard U was carried out for an optimized crystal structure of LiVSiO4.

```
data_LiVSiO4
_chemical_formula_sum 'Li4 V4 Si4 O16'
_space_group_name_H-M_alt 'P 1'
_space_group_IT_number 1
_cell_length_a 5.1015
_cell_length_b 6.8091
_cell_length_c 10.4382
_cell_angle_alpha 90.00
_cell_angle_beta 90.00
_cell_angle_gamma 90.00
loop_
_space_group_symop_operation_xyz
'x,y,z'
loop_
_atom_site_label
_atom_site_fract_x
_atom_site_fract_y
_atom_site_fract_z
Li1 0.1851 0.7872 0.6561
Li2 0.6851 0.2872 0.8439
Li3 0.3149 0.7872 0.1561
Li4 0.8149 0.2872 0.3439
V1 0.1823 0.2823 0.6586
V2 0.6823 0.7823 0.8414
V3 0.3177 0.2823 0.1586
V4 0.8177 0.7823 0.3414
Si1 0.6816 0.5380 0.5938
Si2 0.1816 0.0380 0.9062
Si3 0.8184 0.5380 0.0938
Si4 0.3184 0.0380 0.4062
O1 0.2457 0.0471 0.5594
O2 0.3631 0.5273 0.6180
O3 0.8120 0.3418 0.6611
O4 0.7986 0.7345 0.6666
O5 0.2986 0.2345 0.8334
O6 0.3120 0.8418 0.8389
O7 0.8631 0.0273 0.8820
O8 0.7457 0.5471 0.9406
O9 0.2543 0.0471 0.0594
O10 0.1369 0.5273 0.1180
O11 0.6880 0.3418 0.1611
O12 0.7014 0.7345 0.1666
O13 0.2014 0.2345 0.3334
O14 0.1880 0.8418 0.3389
O15 0.6369 0.0273 0.3820
O16 0.7543 0.5471 0.4406
```

Properties
Symmetry: Pna2_1, No. 33
Total energy, eV per formula unit: -51.1

A plane-wave DFT calculation with PBE with a Hubbard U was carried out for an optimized crystal structure of LiVSiO4.

```
data_LiVSiO4
_chemical_formula_sum 'Li4 V4 Si4 O16'
_space_group_name_H-M_alt 'P 1'
_space_group_IT_number 1
_cell_length_a 5.2167
_cell_length_b 8.6856
_cell_length_c 8.6087
_cell_angle_alpha 107.67
_cell_angle_beta 90.00
_cell_angle_gamma 90.00
loop_
_space_group_symop_operation_xyz
'x,y,z'
loop_
_atom_site_label
_atom_site_fract_x
_atom_site_fract_y
_atom_site_fract_z
Li1 0.8286 0.9840 0.1048
Li2 0.1714 0.9840 0.6048
Li3 0.3226 0.4966 0.2538
Li4 0.6774 0.4966 0.7538
V1 0.8260 0.7440 0.3449
V2 0.1740 0.7440 0.8449
V3 0.6725 0.2491 0.9914
V4 0.3275 0.2491 0.4914
Si1 0.3188 0.8652 0.2293
Si2 0.6812 0.8652 0.7292
Si3 0.8154 0.3691 0.3624
Si4 0.1846 0.3691 0.8625
O1 0.1812 0.8862 0.0651
O2 0.8188 0.8862 0.5651
O3 0.3343 0.3440 0.0217
O4 0.6657 0.3440 0.5217
O5 0.6294 0.8361 0.2030
O6 0.3706 0.8361 0.7030
O7 0.1825 0.7112 0.2729
O8 0.8175 0.7112 0.7729
O9 0.7490 0.2154 0.2010
O10 0.2510 0.2154 0.7010
O11 0.7009 0.5285 0.3198
O12 0.2991 0.5285 0.8198
O13 0.1257 0.3855 0.3976
O14 0.8743 0.3855 0.8976
O15 0.2579 0.0239 0.3859
O16 0.7422 0.0239 0.8859
```

Properties
Symmetry: Pc, No. 7
Total energy, eV per formula unit: -51.2

A plane-wave DFT calculation with PBE with a Hubbard U was carried out for an optimized crystal structure of Li3VSi6O15.

```
data_Li3VSi6O15
_chemical_formula_sum 'Li12 V4 Si24 O60'
_space_group_name_H-M_alt 'P 1'
_space_group_IT_number 1
_cell_length_a 10.0227
_cell_length_b 11.3276
_cell_length_c 11.3276
_cell_angle_alpha 98.89
_cell_angle_beta 90.00
_cell_angle_gamma 90.00
loop_
_space_group_symop_operation_xyz
'x,y,z'
loop_
_atom_site_label
_atom_site_fract_x
_atom_site_fract_y
_atom_site_fract_z
Li1 0.0000 0.2481 0.2481
Li2 0.2500 0.0039 0.4961
Li3 0.7500 0.4961 0.0039
Li4 0.5000 0.2519 0.2519
Li5 0.7452 0.9175 0.0825
Li6 0.7548 0.4175 0.5825
Li7 0.2452 0.5825 0.4175
Li8 0.2548 0.0825 0.9175
Li9 0.5000 0.7481 0.7481
Li10 0.7500 0.9961 0.5039
Li11 0.2500 0.5039 0.9961
Li12 0.0000 0.7519 0.7519
V1 0.2500 0.3379 0.1621
V2 0.7500 0.1621 0.3379
V3 0.7500 0.6621 0.8379
V4 0.2500 0.8379 0.6621
Si1 0.8080 0.1723 0.0400
Si2 0.1920 0.0400 0.1723
Si3 0.6920 0.4600 0.3277
Si4 0.3080 0.3277 0.4600
Si5 0.4911 0.7656 0.0247
Si6 0.9911 0.5247 0.2656
Si7 0.5089 0.0247 0.7656
Si8 0.0089 0.2656 0.5247
Si9 0.4489 0.5846 0.2074
Si10 0.0511 0.0846 0.7074
Si11 0.9489 0.7074 0.0846
Si12 0.5511 0.2074 0.5846
Si13 0.4489 0.7926 0.4154
Si14 0.9489 0.9154 0.2926
Si15 0.0511 0.2926 0.9154
Si16 0.5511 0.4154 0.7926
Si17 0.0089 0.4753 0.7344
Si18 0.4911 0.9753 0.2344
Si19 0.9911 0.7344 0.4753
Si20 0.5089 0.2344 0.9753
Si21 0.6920 0.6723 0.5400
Si22 0.3080 0.5400 0.6723
Si23 0.8080 0.9600 0.8277
Si24 0.1920 0.8277 0.9600
O1 0.0774 0.9875 0.2519
O2 0.9226 0.2519 0.9875
O3 0.6676 0.2363 0.0105
O4 0.3324 0.0105 0.2363
O5 0.8376 0.1644 0.1768
O6 0.1624 0.1768 0.1644
O7 0.4179 0.2554 0.0920
O8 0.5821 0.0920 0.2554
O9 0.3288 0.5034 0.1480
O10 0.8288 0.6480 0.0034
O11 0.1712 0.0034 0.6480
O12 0.6712 0.1480 0.5034
O13 0.0821 0.4080 0.2446
O14 0.9179 0.2446 0.4080
O15 0.6624 0.3232 0.3356
O16 0.3376 0.3356 0.3232
O17 0.1676 0.2637 0.4895
O18 0.8324 0.4895 0.2637
O19 0.5774 0.5125 0.2481
O20 0.4226 0.2481 0.5125
O21 0.0109 0.6135 0.1660
O22 0.5109 0.6660 0.1135
O23 0.9891 0.1660 0.6135
O24 0.4891 0.1135 0.6660
O25 0.9635 0.3965 0.6035
O26 0.3895 0.6700 0.3300
O27 0.1953 0.9677 0.0323
O28 0.5365 0.8965 0.1035
O29 0.8895 0.8300 0.1700
O30 0.6953 0.5323 0.4677
O31 0.1105 0.1700 0.8300
O32 0.0365 0.6035 0.3965
O33 0.6105 0.3300 0.6700
O34 0.8047 0.0323 0.9677
O35 0.3047 0.4677 0.5323
O36 0.4635 0.1035 0.8965
O37 0.5109 0.8865 0.3340
O38 0.4891 0.3340 0.8865
O39 0.0109 0.8340 0.3865
O40 0.9891 0.3865 0.8340
O41 0.5774 0.7519 0.4875
O42 0.4226 0.4875 0.7519
O43 0.8324 0.7363 0.5105
O44 0.1676 0.5105 0.7363
O45 0.3376 0.6768 0.6644
O46 0.6624 0.6644 0.6768
O47 0.0821 0.7554 0.5920
O48 0.9179 0.5920 0.7554
O49 0.8288 0.9966 0.3520
O50 0.3288 0.8520 0.4966
O51 0.1712 0.3520 0.9966
O52 0.6712 0.4966 0.8520
O53 0.4179 0.9080 0.7446
O54 0.5821 0.7446 0.9080
O55 0.8376 0.8232 0.8356
O56 0.1624 0.8356 0.8232
O57 0.6676 0.9895 0.7637
O58 0.3324 0.7637 0.9895
O59 0.9226 0.0125 0.7481
O60 0.0774 0.7481 0.0125
```

Properties
Symmetry: Cmce, No. 64
Total energy, eV per formula unit: -185.4

A plane-wave DFT calculation with PBE with a Hubbard U was carried out for an optimized crystal structure of LiVSiO4.

```
data_LiVSiO4
_chemical_formula_sum 'Li4 V4 Si4 O16'
_space_group_name_H-M_alt 'P 1'
_space_group_IT_number 1
_cell_length_a 4.7916
_cell_length_b 5.8102
_cell_length_c 10.4318
_cell_angle_alpha 90.00
_cell_angle_beta 90.00
_cell_angle_gamma 90.00
loop_
_space_group_symop_operation_xyz
'x,y,z'
loop_
_atom_site_label
_atom_site_fract_x
_atom_site_fract_y
_atom_site_fract_z
Li1 0.5000 0.5000 0.5000
Li2 0.5000 0.0000 0.5000
Li3 0.0000 0.0000 0.0000
Li4 0.0000 0.5000 0.0000
V1 0.4988 0.7500 0.2265
V2 0.0012 0.7500 0.7265
V3 0.9988 0.2500 0.2735
V4 0.5012 0.2500 0.7735
Si1 0.4457 0.2500 0.0927
Si2 0.0543 0.2500 0.5927
Si3 0.9457 0.7500 0.4073
Si4 0.5543 0.7500 0.9073
O1 0.2178 0.7500 0.9005
O2 0.6897 0.7500 0.0505
O3 0.2102 0.4648 0.6741
O4 0.2102 0.0352 0.6741
O5 0.2898 0.4648 0.1741
O6 0.2898 0.0352 0.1741
O7 0.8103 0.7500 0.5505
O8 0.2822 0.7500 0.4005
O9 0.7178 0.2500 0.5995
O10 0.1897 0.2500 0.4495
O11 0.7898 0.9648 0.3259
O12 0.7898 0.5352 0.3259
O13 0.7102 0.9648 0.8259
O14 0.7102 0.5352 0.8259
O15 0.3103 0.2500 0.9495
O16 0.7822 0.2500 0.0995
```

Properties
Symmetry: Pnma, No. 62
Total energy, eV per formula unit: -51.6